[1]
K3H12Au5, relaxed, DFT PBE; electronic total energy = -2.9365 eV per atom
1.0
11.1358 0.0000 0.0000
-3.7119 10.4989 0.0000
-3.7119 -5.2495 9.0923
Au H K
20 48 12
direct
0.7500 0.1250 0.8750
0.6250 0.8750 0.2500
0.1250 0.3750 0.2500
0.5000 0.0000 0.5000
0.0000 0.5000 0.0000
0.3750 0.2500 0.1250
0.0000 0.5000 0.5000
0.2500 0.3750 0.6250
0.5000 0.0000 0.0000
0.7500 0.6250 0.3750
0.8750 0.2500 0.6250
0.2500 0.8750 0.1250
0.1250 0.7500 0.3750
0.8750 0.6250 0.7500
0.5000 0.5000 0.0000
0.5000 0.5000 0.5000
0.6250 0.7500 0.8750
0.0000 0.0000 0.0000
0.3750 0.1250 0.7500
0.0000 0.0000 0.5000
0.6026 0.5877 0.4279
0.3974 0.9851 0.3252
0.4279 0.3401 0.3252
0.0721 0.8974 0.4123
0.8252 0.8974 0.9851
0.9123 0.5721 0.8974
0.8401 0.5149 0.4123
0.0149 0.6026 0.1748
0.5149 0.8401 0.9123
0.5149 0.6748 0.1026
0.1599 0.4851 0.5877
0.4279 0.0877 0.6026
0.1748 0.1026 0.0149
0.8974 0.8252 0.4851
0.3252 0.8401 0.4279
0.3974 0.4123 0.5721
0.5721 0.6599 0.6748
0.3252 0.4851 0.3974
0.6748 0.5149 0.6026
0.0877 0.4279 0.1026
0.9851 0.3974 0.8252
0.5877 0.6026 0.9279
0.1599 0.6748 0.0721
0.4123 0.3974 0.0721
0.1748 0.0721 0.6599
0.6748 0.1599 0.5721
0.4851 0.1599 0.0877
0.4851 0.3252 0.8974
0.0877 0.6599 0.4851
0.8401 0.3252 0.9279
0.8974 0.0721 0.9123
0.6026 0.0149 0.6748
0.4123 0.0149 0.8401
0.6599 0.0877 0.9851
0.3401 0.9123 0.0149
0.1026 0.1748 0.5149
0.9851 0.5877 0.6599
0.6599 0.5721 0.1748
0.8252 0.9279 0.3401
0.0149 0.4123 0.3401
0.1026 0.9279 0.0877
0.3401 0.4279 0.8252
0.9279 0.1026 0.5877
0.9123 0.3401 0.5149
0.9279 0.8252 0.8401
0.5877 0.9851 0.1599
0.0721 0.1748 0.1599
0.5721 0.9123 0.3974
0.3750 0.6250 0.2500
0.2500 0.1250 0.3750
0.6250 0.3750 0.7500
0.7500 0.3750 0.1250
0.3750 0.7500 0.6250
0.2500 0.6250 0.8750
0.6250 0.2500 0.3750
0.8750 0.7500 0.1250
0.7500 0.8750 0.6250
0.1250 0.8750 0.7500
0.8750 0.1250 0.2500
0.1250 0.2500 0.8750


[2]
DyYAl6, relaxed, DFT PBE; electronic total energy = -4.6259 eV per atom; distance to the lowest polymorph of the same formula = 0 meV per atom; ΔH_f (0 K) = -0.436 eV/atom
1.0
-4.3495 -0.5680 -1.5831
1.9245 -4.7275 -3.5914
-1.9714 -1.1135 5.8159
Al Dy Y
6 1 1
direct
0.5000 0.8969 0.1031
0.0000 0.6027 0.3973
0.0000 0.0437 0.3966
0.0000 0.6034 0.9563
0.5000 0.4567 0.1037
0.5000 0.8963 0.5433
0.5000 0.4163 0.5837
0.0000 0.0837 0.9163


[3]
LaNbBi3, relaxed, DFT PBE; electronic total energy = -5.2563 eV per atom; distance to the lowest polymorph of the same formula = 0 meV per atom; ΔH_f (0 K) = 0.072 eV/atom
1.0
5.5241 0.0000 0.0000
0.0000 5.5241 0.0000
0.0000 0.0000 5.5241
Bi Nb La
3 1 1
direct
0.5000 0.0000 0.0000
0.0000 0.5000 0.0000
0.0000 0.0000 0.5000
0.0000 0.0000 0.0000
0.5000 0.5000 0.5000


[4]
ThB2C, relaxed, DFT PBE; electronic total energy = -7.4152 eV per atom; ΔH_f (0 K) = 0.084 eV/atom
1.0
3.3030 0.0000 0.0000
0.0000 3.1362 0.0000
-1.6515 0.0000 8.7891
C B Th
2 4 2
direct
0.2083 0.2500 0.4165
0.7917 0.7500 0.5835
0.0173 0.2500 0.0346
0.9827 0.7500 0.9654
0.7498 0.2500 0.4995
0.2502 0.7500 0.5005
0.3928 0.2500 0.7856
0.6072 0.7500 0.2144


[5]
Y2GaBIr, relaxed, DFT PBE; electronic total energy = -6.8417 eV per atom; ΔH_f (0 K) = -0.543 eV/atom
1.0
-4.3151 -0.2242 -2.5816
-1.1224 -4.3580 2.2546
-1.8573 1.9948 2.9313
Y B Ga Ir
2 1 1 1
direct
0.5000 0.0000 0.0000
0.0000 0.5000 0.0000
0.0000 0.0000 0.0000
0.5000 0.5000 0.5000
0.0000 0.0000 0.5000


[6]
Fe3Co, relaxed, DFT PBE; electronic total energy = -8.1261 eV per atom; ΔH_f (0 K) = -0.003 eV/atom
1.0
2.8340 0.0000 0.0000
0.0000 2.8340 0.0000
0.0000 0.0000 11.4059
Fe Co
6 2
direct
0.5000 0.5000 0.3754
0.0000 0.0000 0.2483
0.5000 0.5000 0.6252
0.5000 0.5000 0.8767
0.0000 0.0000 0.4998
0.0000 0.0000 0.7496
0.0000 0.0000 0.9989
0.5000 0.5000 0.1261


[7]
TlOsIN2, relaxed, DFT PBE; electronic total energy = -3.6899 eV per atom; distance to the lowest polymorph of the same formula = 1712 meV per atom; raw formation energy = 1288 kJ/mol of formula units
1.0
4.1447 0.0000 0.0000
0.0000 4.1447 0.0000
0.0000 0.0000 6.9841
I N Tl Os
1 2 1 1
direct
0.0000 0.0000 0.5000
0.5000 0.0000 0.0000
0.0000 0.5000 0.0000
0.0000 0.0000 0.0000
0.5000 0.5000 0.5000


[8]
Tb6Dy2Tm3, relaxed, DFT PBE; electronic total energy = -4.5625 eV per atom; distance to the lowest polymorph of the same formula = 0 meV per atom; ΔH_f (0 K) = 0.019 eV/atom
1.0
-0.3274 2.1834 -2.7580
-3.1470 1.4048 -0.7770
5.2092 25.8275 17.5649
Tb Tm Dy
6 3 2
direct
0.8180 0.8180 0.5460
0.9097 0.9097 0.2708
0.6366 0.6366 0.0902
0.3634 0.3634 0.9098
0.1820 0.1820 0.4540
0.0903 0.0903 0.7292
0.7268 0.7268 0.8195
0.0000 0.0000 0.0000
0.2732 0.2732 0.1805
0.4541 0.4541 0.6376
0.5459 0.5459 0.3624


[9]
TbCe3Ho4S8, relaxed, DFT PBE; electronic total energy = -6.6253 eV per atom; raw formation energy = -3111 kJ/mol of formula units
1.0
7.8554 0.0000 0.0000
0.0000 7.9087 0.0326
-3.9277 -3.9241 5.5572
Ce Ho S Tb
3 4 8 1
direct
0.5000 0.5000 0.0000
0.0000 0.5000 0.5000
0.5000 0.5000 0.5000
0.5000 0.0000 0.0000
0.5000 0.0000 0.5000
0.0000 0.0000 0.5000
0.0000 0.0000 0.0000
0.7544 0.7633 0.5089
0.2456 0.2367 0.4911
0.2514 0.7600 0.0085
0.7486 0.2400 0.9915
0.2514 0.7600 0.5029
0.2429 0.2400 0.9915
0.7486 0.2400 0.4971
0.7571 0.7600 0.0085
0.0000 0.5000 0.0000


[10]
GaI2Br, relaxed, DFT PBE; electronic total energy = -2.4835 eV per atom; distance to the lowest polymorph of the same formula = 0 meV per atom; raw formation energy = -206 kJ/mol of formula units
1.0
4.0638 0.0000 0.0000
0.0000 8.9547 1.5864
0.0000 4.7967 11.3180
I Br Ga
4 2 2
direct
0.7500 0.7669 0.6390
0.7500 0.2522 0.0128
0.2500 0.7478 0.9872
0.2500 0.2331 0.3610
0.2500 0.3451 0.6936
0.7500 0.6549 0.3064
0.7500 0.4383 0.7716
0.2500 0.5617 0.2284


[11]
CuSbRu3, relaxed, DFT PBE; electronic total energy = -5.8845 eV per atom; distance to the lowest polymorph of the same formula = 0 meV per atom; raw formation energy = 639 kJ/mol of formula units
1.0
4.4735 0.0000 0.0000
0.0000 4.4735 0.0000
0.0000 0.0000 4.4735
Cu Ru Sb
1 3 1
direct
0.0000 0.0000 0.0000
0.0000 0.0000 0.5000
0.5000 0.0000 0.0000
0.0000 0.5000 0.0000
0.5000 0.5000 0.5000


[12]
Al2IrBr, relaxed, DFT PBE; electronic total energy = -4.7631 eV per atom; distance to the lowest polymorph of the same formula = 255 meV per atom; raw formation energy = -100 kJ/mol of formula units
1.0
3.3551 0.0000 0.0000
0.0000 2.8770 0.0000
0.0000 0.0000 7.8212
Br Al Ir
1 2 1
direct
0.5000 0.5000 0.2500
0.0000 0.0000 0.5710
0.0000 0.0000 0.9290
0.5000 0.5000 0.7500